# 1
Entry from OQMD: a relaxed NaGdTl2 crystal (PBE).

Computed properties:
crystal system: tetragonal
space-group type: P4/mmm, No. 123
E_tot: -2.9414 eV/atom
volume: 109 Å³/cell

```
data_NaGdTl2
_chemical_formula_sum 'Na1 Gd1 Tl2'
_cell_length_a 5.342
_cell_length_b 5.342
_cell_length_c 3.836
_cell_angle_alpha 90.00
_cell_angle_beta 90.00
_cell_angle_gamma 90.00
_space_group_name_H-M_alt 'P 1'
_space_group_IT_number 1
loop_
_space_group_symop_operation_xyz
'x,y,z'
loop_
_atom_site_label
_atom_site_fract_x
_atom_site_fract_y
_atom_site_fract_z
Gd1 0.000 0.000 0.500
Tl1 0.000 0.500 0.000
Tl2 0.500 0.000 0.000
Na1 0.500 0.500 0.500
```

---

# 2
Entry from OQMD: a relaxed NaGdTl crystal (PBE).

Computed properties:
crystal system: cubic
excess energy over the best structure of this formula in the dataset: 0.265 eV/atom
space-group type: F-43m, No. 216
E_tot: -2.4238 eV/atom
volume: 99 Å³/cell

```
data_NaGdTl
_chemical_formula_sum 'Na1 Gd1 Tl1'
_cell_length_a 5.185
_cell_length_b 5.185
_cell_length_c 5.185
_cell_angle_alpha 60.00
_cell_angle_beta 60.00
_cell_angle_gamma 60.00
_space_group_name_H-M_alt 'P 1'
_space_group_IT_number 1
loop_
_space_group_symop_operation_xyz
'x,y,z'
loop_
_atom_site_label
_atom_site_fract_x
_atom_site_fract_y
_atom_site_fract_z
Gd1 0.000 0.000 0.000
Na1 0.250 0.250 0.250
Tl1 0.750 0.750 0.750
```

---

# 3
Entry from OQMD: a relaxed NaGdTl crystal (PBE).

Computed properties:
crystal system: cubic
excess energy over the best structure of this formula in the dataset: 0.000 eV/atom
space-group type: F-43m, No. 216
E_tot: -2.6884 eV/atom
volume: 97 Å³/cell

```
data_NaGdTl
_chemical_formula_sum 'Na1 Gd1 Tl1'
_cell_length_a 5.163
_cell_length_b 5.163
_cell_length_c 5.163
_cell_angle_alpha 60.00
_cell_angle_beta 60.00
_cell_angle_gamma 60.00
_space_group_name_H-M_alt 'P 1'
_space_group_IT_number 1
loop_
_space_group_symop_operation_xyz
'x,y,z'
loop_
_atom_site_label
_atom_site_fract_x
_atom_site_fract_y
_atom_site_fract_z
Gd1 0.250 0.250 0.250
Tl1 0.000 0.000 0.000
Na1 0.750 0.750 0.750
```

---

# 4
Entry from OQMD: a relaxed NaGdY crystal (PBE).

Computed properties:
crystal system: cubic
excess energy over the best structure of this formula in the dataset: 0.000 eV/atom
space-group type: F-43m, No. 216
E_tot: -3.3387 eV/atom
volume: 107 Å³/cell

```
data_NaGdY
_chemical_formula_sum 'Na1 Gd1 Y1'
_cell_length_a 5.331
_cell_length_b 5.331
_cell_length_c 5.331
_cell_angle_alpha 60.00
_cell_angle_beta 60.00
_cell_angle_gamma 60.00
_space_group_name_H-M_alt 'P 1'
_space_group_IT_number 1
loop_
_space_group_symop_operation_xyz
'x,y,z'
loop_
_atom_site_label
_atom_site_fract_x
_atom_site_fract_y
_atom_site_fract_z
Gd1 0.250 0.250 0.250
Na1 0.000 0.000 0.000
Y1 0.750 0.750 0.750
```

---

# 5
Entry from OQMD: a relaxed Na2GdZn2 crystal (PBE).

Computed properties:
crystal system: hexagonal
space-group type: P6_3/mmc, No. 194
E_tot: -1.6347 eV/atom
volume: 256 Å³/cell

```
data_Na2GdZn2
_chemical_formula_sum 'Na4 Gd2 Zn4'
_cell_length_a 3.800
_cell_length_b 3.800
_cell_length_c 20.467
_cell_angle_alpha 90.00
_cell_angle_beta 90.00
_cell_angle_gamma 120.00
_space_group_name_H-M_alt 'P 1'
_space_group_IT_number 1
loop_
_space_group_symop_operation_xyz
'x,y,z'
loop_
_atom_site_label
_atom_site_fract_x
_atom_site_fract_y
_atom_site_fract_z
Zn1 0.667 0.333 0.970
Na1 0.667 0.333 0.378
Zn2 0.667 0.333 0.530
Zn3 0.333 0.667 0.030
Gd1 0.000 0.000 0.250
Gd2 0.000 0.000 0.750
Zn4 0.333 0.667 0.470
Na2 0.667 0.333 0.122
Na3 0.333 0.667 0.622
Na4 0.333 0.667 0.878
```

---

# 6
Entry from OQMD: a relaxed GdNb crystal (PBE).

Computed properties:
energy of formation: 2.473 eV per atom
crystal system: cubic
excess energy over the best structure of this formula in the dataset: 1.960 eV/atom
space-group type: F-43m, No. 216
E_tot: -4.9011 eV/atom
volume: 74 Å³/cell

```
data_GdNb
_chemical_formula_sum 'Gd1 Nb1'
_cell_length_a 4.721
_cell_length_b 4.721
_cell_length_c 4.721
_cell_angle_alpha 60.00
_cell_angle_beta 60.00
_cell_angle_gamma 60.00
_space_group_name_H-M_alt 'P 1'
_space_group_IT_number 1
loop_
_space_group_symop_operation_xyz
'x,y,z'
loop_
_atom_site_label
_atom_site_fract_x
_atom_site_fract_y
_atom_site_fract_z
Gd1 0.000 0.000 0.000
Nb1 0.250 0.250 0.250
```

---

# 7
Entry from OQMD: a relaxed GdNb crystal (PBE).

Computed properties:
energy of formation: 0.513 eV per atom
crystal system: hexagonal
excess energy over the best structure of this formula in the dataset: 0.000 eV/atom
space-group type: P-6m2, No. 187
E_tot: -6.8613 eV/atom
volume: 47 Å³/cell

```
data_GdNb
_chemical_formula_sum 'Gd1 Nb1'
_cell_length_a 3.202
_cell_length_b 3.202
_cell_length_c 5.339
_cell_angle_alpha 90.00
_cell_angle_beta 90.00
_cell_angle_gamma 120.00
_space_group_name_H-M_alt 'P 1'
_space_group_IT_number 1
loop_
_space_group_symop_operation_xyz
'x,y,z'
loop_
_atom_site_label
_atom_site_fract_x
_atom_site_fract_y
_atom_site_fract_z
Nb1 0.333 0.667 0.250
Gd1 0.667 0.333 0.750
```

---

# 8
Entry from OQMD: a relaxed GdNb2 crystal (PBE).

Computed properties:
energy of formation: 0.224 eV per atom
crystal system: cubic
excess energy over the best structure of this formula in the dataset: 0.000 eV/atom
space-group type: Fd-3m, No. 227
E_tot: -8.0567 eV/atom
volume: 134 Å³/cell

```
data_GdNb2
_chemical_formula_sum 'Gd2 Nb4'
_cell_length_a 5.745
_cell_length_b 5.745
_cell_length_c 5.745
_cell_angle_alpha 60.00
_cell_angle_beta 60.00
_cell_angle_gamma 60.00
_space_group_name_H-M_alt 'P 1'
_space_group_IT_number 1
loop_
_space_group_symop_operation_xyz
'x,y,z'
loop_
_atom_site_label
_atom_site_fract_x
_atom_site_fract_y
_atom_site_fract_z
Nb1 0.625 0.125 0.625
Gd1 0.000 0.000 0.000
Nb2 0.125 0.625 0.625
Gd2 0.250 0.250 0.250
Nb3 0.625 0.625 0.125
Nb4 0.625 0.625 0.625
```

---

# 9
Entry from OQMD: a relaxed GdNb crystal (PBE).

Computed properties:
energy of formation: 1.288 eV per atom
crystal system: cubic
excess energy over the best structure of this formula in the dataset: 0.775 eV/atom
space-group type: Fm-3m, No. 225
E_tot: -6.0858 eV/atom
volume: 52 Å³/cell

```
data_GdNb
_chemical_formula_sum 'Gd1 Nb1'
_cell_length_a 4.179
_cell_length_b 4.179
_cell_length_c 4.179
_cell_angle_alpha 60.00
_cell_angle_beta 60.00
_cell_angle_gamma 60.00
_space_group_name_H-M_alt 'P 1'
_space_group_IT_number 1
loop_
_space_group_symop_operation_xyz
'x,y,z'
loop_
_atom_site_label
_atom_site_fract_x
_atom_site_fract_y
_atom_site_fract_z
Gd1 0.000 0.000 0.000
Nb1 0.500 0.500 0.500
```

---

# 10
Entry from OQMD: a relaxed GdNb2 crystal (PBE).

Computed properties:
energy of formation: 4.149 eV per atom
crystal system: cubic
excess energy over the best structure of this formula in the dataset: 3.925 eV/atom
space-group type: Fd-3m, No. 227
E_tot: -4.1320 eV/atom
volume: 397 Å³/cell

```
data_GdNb2
_chemical_formula_sum 'Gd2 Nb4'
_cell_length_a 8.249
_cell_length_b 8.249
_cell_length_c 8.249
_cell_angle_alpha 60.00
_cell_angle_beta 60.00
_cell_angle_gamma 60.00
_space_group_name_H-M_alt 'P 1'
_space_group_IT_number 1
loop_
_space_group_symop_operation_xyz
'x,y,z'
loop_
_atom_site_label
_atom_site_fract_x
_atom_site_fract_y
_atom_site_fract_z
Gd1 0.500 0.500 0.500
Gd2 0.250 0.250 0.250
Nb1 0.375 0.375 0.875
Nb2 0.875 0.375 0.375
Nb3 0.375 0.375 0.375
Nb4 0.375 0.875 0.375
```